(1)
The following is a DFT calculation (GGA-PBE) of NiPb3 after structural relaxation.

```
NiPb3
1.0
6.730 0.000 0.000
-3.365 5.828 0.000
0.000 0.000 10.514
Ni Pb
4 12
direct
0.000 0.000 0.000
0.000 0.000 0.500
0.333 0.667 0.250
0.667 0.333 0.750
0.000 0.500 0.000
0.000 0.500 0.500
0.157 0.315 0.750
0.157 0.843 0.750
0.315 0.157 0.250
0.500 0.000 0.000
0.500 0.000 0.500
0.500 0.500 0.000
0.500 0.500 0.500
0.685 0.843 0.750
0.843 0.157 0.250
0.843 0.685 0.250
```



(2)
The following is a DFT calculation (GGA-PBE) of NiPb3 after structural relaxation.

```
NiPb3
1.0
-1.698 2.286 6.759
1.698 -2.286 6.759
1.698 2.286 -6.759
Ni Pb
1 3
direct
0.000 0.000 0.000
0.175 0.675 0.500
0.500 0.500 0.000
0.825 0.325 0.500
```



(3)
The following is a DFT calculation (GGA-PBE) of Ni2Pb after structural relaxation.

```
Ni2Pb
1.0
4.016 0.000 0.000
-2.008 3.478 0.000
0.000 0.000 6.967
Ni Pb
4 2
direct
0.333 0.667 0.054
0.333 0.667 0.446
0.667 0.333 0.554
0.667 0.333 0.946
0.000 0.000 0.250
0.000 0.000 0.750
```



(4)
The following is a DFT calculation (GGA-PBE) of NiPb3 after structural relaxation.

```
NiPb3
1.0
-1.764 4.843 3.076
1.764 -4.843 3.076
1.764 4.843 -3.076
Ni Pb
1 3
direct
0.000 0.000 0.000
0.332 0.832 0.500
0.618 0.301 0.317
0.984 0.301 0.683
```



Number 1: total moment 0.00 Bohr magnetons per cell, energy of formation 355.0 meV/atom. Number 2: total moment 0.00 Bohr magnetons per cell, energy of formation 175.8 meV/atom. Number 3: total moment 0.00 Bohr magnetons per cell, energy of formation 279.7 meV/atom. Number 4: total moment 0.00 Bohr magnetons per cell, energy of formation 134.1 meV/atom.